The following is a DFT calculation (GGA-PBE) of an optimized crystal structure of Y3CdO.

Values from the calculation:
**Total magnetization**: 0.000 μB per atom
**VASP energy**: -0.459 Ry/atom
**Space group**: Pnma (62)
**Formation energy from raw total energies**: -1197 meV/atom
**Relative energy among the computed polymorphs**: 0.70 eV per formula unit
**Calculated volume**: 25.7 A^3/atom

Unit cell a=5.7873 b=13.5655 c=6.5587 alpha=90.00 beta=90.00 gamma=90.00
Last column: nearest neighbours and their distance in Å.
Positions (direct):
1 Y 0.4913 0.3809 0.4134  1 O 2.24
2 Y 0.5310 0.7500 0.0645  2 O 2.23-2.30
3 Y 0.0087 0.8809 0.9134  1 O 2.24
4 Y 0.9690 0.2500 0.5645  2 O 2.23-2.30
5 Y 0.4913 0.1191 0.4134  1 O 2.24
6 Y 0.9913 0.3809 0.0866  1 O 2.24
7 Y 0.0087 0.6191 0.9134  1 O 2.24
8 Y 0.0310 0.7500 0.4355  2 O 2.23-2.30
9 Y 0.5087 0.6191 0.5866  1 O 2.24
10 Y 0.4690 0.2500 0.9355  2 O 2.23-2.30
11 Y 0.5087 0.8809 0.5866  1 O 2.24
12 Y 0.9913 0.1191 0.0866  1 O 2.24
13 Cd 0.0000 0.5000 0.5000  8 Y 3.16-3.42
14 Cd 0.5000 0.0000 0.0000  8 Y 3.16-3.42
15 Cd 0.5000 0.5000 0.0000  8 Y 3.16-3.42
16 Cd 0.0000 0.0000 0.5000  8 Y 3.16-3.42
17 O 0.0754 0.2500 0.8913  4 Y 2.23-2.30
18 O 0.9246 0.7500 0.1087  4 Y 2.23-2.30
19 O 0.4246 0.7500 0.3913  4 Y 2.23-2.30
20 O 0.5754 0.2500 0.6087  4 Y 2.23-2.30